## HfHg2Pb2 (PBE)

Data for crystalline HfHg2Pb2 at its relaxed geometry.

- Total magnetization: 0.14 μB/cell
- Symmetry: I4/mmm (139)
- Energy relative to the lowest polymorph listed for this composition: 103 kJ/mol of formula units

a b c (Å): 7.388 7.388 7.388
angles (deg): 144.19 144.19 51.54
Sites, in units of the cell vectors:
Hf 0.000 0.000 0.000
Hg 0.401 0.401 0.000
Hg 0.599 0.599 0.000
Pb 0.250 0.750 0.500
Pb 0.750 0.250 0.500